Record 1
# TbCeSmTl

A relaxed structure of TbCeSmTl (PBE, Alexandria).

```
data_TbCeSmTl
_cell_length_a 7.7144
_cell_length_b 7.7144
_cell_length_c 7.7144
_cell_angle_alpha 90.00
_cell_angle_beta 90.00
_cell_angle_gamma 90.00
_space_group_name_H-M_alt 'F -4 3 m'
_space_group_IT_number 216
_space_group_name_Hall 'F -4 2 3'
loop_
_atom_site_label
_atom_site_type_symbol
_atom_site_fract_x
_atom_site_fract_y
_atom_site_fract_z
_atom_site_occupancy
Tb1 Tb 0.0000 0.0000 0.0000 1
Ce1 Ce 0.2500 0.2500 0.7500 1
Sm1 Sm 0.0000 0.0000 0.5000 1
Tl1 Tl 0.2500 0.2500 0.2500 1
```

Calculated values
**Crystal system**: cubic
**D(E_F)**: 28.21 states/eV/cell
**Formation energy**: 0.01 eV/atom

---

Record 2
# TbCe2SmTl4

A relaxed structure of TbCe2SmTl4 (PBE, Alexandria).

```
data_TbCe2SmTl4
_cell_length_a 5.4718
_cell_length_b 5.4718
_cell_length_c 26.8397
_cell_angle_alpha 90.00
_cell_angle_beta 90.00
_cell_angle_gamma 120.00
_space_group_name_H-M_alt 'R -3 m'
_space_group_IT_number 166
_space_group_name_Hall '-R 3 2"'
loop_
_atom_site_label
_atom_site_type_symbol
_atom_site_fract_x
_atom_site_fract_y
_atom_site_fract_z
_atom_site_occupancy
Tb1 Tb 0.0000 0.0000 0.0000 1
Ce1 Ce 0.0000 0.0000 0.2503 1
Sm1 Sm 0.0000 0.0000 0.5000 1
Tl1 Tl 0.0000 0.0000 0.1244 1
Tl2 Tl 0.0000 0.0000 0.3744 1
```

Calculated values
**Crystal system**: trigonal
**D(E_F)**: 56.78 states/eV/cell
**Formation energy**: -0.29 eV/atom

---

Record 3
# TbCe2Sm3Tm6

A relaxed structure of TbCe2Sm3Tm6 (PBE, Alexandria).

```
data_TbCe2Sm3Tm6
_cell_length_a 6.1262
_cell_length_b 10.6060
_cell_length_c 11.6252
_cell_angle_alpha 90.00
_cell_angle_beta 100.10
_cell_angle_gamma 90.00
_space_group_name_H-M_alt 'C 1 2/m 1'
_space_group_IT_number 12
_space_group_name_Hall '-C 2y'
loop_
_atom_site_label
_atom_site_type_symbol
_atom_site_fract_x
_atom_site_fract_y
_atom_site_fract_z
_atom_site_occupancy
Tb1 Tb 0.0000 0.0000 0.0000 1
Ce1 Ce 0.0000 0.3335 0.0000 1
Sm1 Sm 0.0000 0.1660 0.5000 1
Sm2 Sm 0.0000 0.5000 0.5000 1
Tm1 Tm 0.2474 0.5000 0.2473 1
Tm2 Tm 0.2505 0.1677 0.2472 1
```

Calculated values
**Crystal system**: monoclinic
**D(E_F)**: 39.09 states/eV/cell
**Formation energy**: 0.04 eV/atom

---

Record 4
# Tb3Ce2Sm6Tm

A relaxed structure of Tb3Ce2Sm6Tm (PBE, Alexandria).

```
data_Tb3Ce2Sm6Tm
_cell_length_a 6.2029
_cell_length_b 10.7442
_cell_length_c 11.8782
_cell_angle_alpha 90.00
_cell_angle_beta 100.07
_cell_angle_gamma 90.00
_space_group_name_H-M_alt 'C 1 2/m 1'
_space_group_IT_number 12
_space_group_name_Hall '-C 2y'
loop_
_atom_site_label
_atom_site_type_symbol
_atom_site_fract_x
_atom_site_fract_y
_atom_site_fract_z
_atom_site_occupancy
Tb1 Tb 0.0000 0.0000 0.0000 1
Tb2 Tb 0.0000 0.3338 0.0000 1
Ce1 Ce 0.0000 0.1665 0.5000 1
Sm1 Sm 0.2487 0.0000 0.7486 1
Sm2 Sm 0.2490 0.1674 0.2519 1
Tm1 Tm 0.0000 0.5000 0.5000 1
```

Calculated values
**Crystal system**: monoclinic
**D(E_F)**: 46.74 states/eV/cell
**Formation energy**: 0.05 eV/atom